{"formula": "SrEr2H", "functional": "GGA-PBE", "state": "optimized geometry", "dos_at_fermi_per_ev_atom": 1.3493, "dft_energy_ev_per_cell": -41.9, "cell": [[3.609, 0.000, 0.000], [-1.804, 3.125, 0.000], [0.000, 0.000, 29.183]], "species": ["Sr", "Sr", "Sr", "Er", "Er", "Er", "Er", "Er", "Er", "H", "H", "H"], "frac_coords": [[0.000, 0.000, 0.000], [0.333, 0.667, 0.667], [0.667, 0.333, 0.333], [0.000, 0.000, 0.122], [0.000, 0.000, 0.878], [0.333, 0.667, 0.545], [0.333, 0.667, 0.789], [0.667, 0.333, 0.211], [0.667, 0.333, 0.455], [0.000, 0.000, 0.500], [0.333, 0.667, 0.167], [0.667, 0.333, 0.833]]}